1.
DFT (GGA-PBE) results for crystalline PmPrHo2Tm2 at its relaxed geometry.

Unit cell a=6.9235 b=9.8117 c=5.6520 alpha=90.00 beta=90.00 gamma=90.00
Space group Pnnm (No. 58)
One atom of each set of equivalent atoms:
1 Pm 0.0000 0.0000 0.0000 x2
2 Pr 0.0000 0.5000 0.5000 x2
3 Ho 0.2497 0.1667 0.5000 x4
4 Tm 0.2504 0.3337 0.0000 x4

DOS at the Fermi energy: 18.258 states/eV/cell
crystal system: orthorhombic
E_form: 0.08 eV per atom
spin magnetization: 0.00 μB/f.u.



2.
DFT (GGA-PBE) results for crystalline Pr6Si2PSe3 at its relaxed geometry.

Unit cell a=18.7240 b=4.2720 c=8.6062 alpha=90.00 beta=103.78 gamma=90.00
Space group C2/m (No. 12)
One atom of each set of equivalent atoms:
1 Pr 0.0034 0.0000 0.2405 x4
2 Pr 0.1631 0.5000 0.0898 x4
3 Pr 0.1687 0.5000 0.5774 x4
4 Si 0.1661 0.0000 0.3323 x4
5 P 0.0000 0.5000 0.0000 x2
6 Se 0.0000 0.5000 0.5000 x2
7 Se 0.1661 0.0000 0.8343 x4

DOS at the Fermi energy: 4.661 states/eV/cell
crystal system: monoclinic
energy relative to the elements, uncorrected: -1690 kJ/mol of formula units
spin magnetization: 0.00 μB/f.u.



3.
DFT (GGA-PBE) results for crystalline BeRe2TcAg at its relaxed geometry.

Unit cell a=4.6905 b=4.6905 c=4.2000 alpha=90.00 beta=90.00 gamma=90.00
Space group P4/mmm (No. 123)
One atom of each set of equivalent atoms:
1 Be 0.0000 0.0000 0.0000 x1
2 Re 0.0000 0.5000 0.5000 x2
3 Tc 0.0000 0.0000 0.5000 x1
4 Ag 0.5000 0.5000 0.0000 x1

DOS at the Fermi energy: 4.946 states/eV/cell
crystal system: tetragonal
E_form: 1.71 eV per atom
spin magnetization: 0.00 μB/f.u.



4.
DFT (GGA-PBE) results for crystalline GeSb2AsOs at its relaxed geometry.

Unit cell a=5.4343 b=5.4343 c=4.5274 alpha=90.00 beta=90.00 gamma=90.00
Space group P4/mmm (No. 123)
One atom of each set of equivalent atoms:
1 Ge 0.0000 0.0000 0.0000 x1
2 Sb 0.0000 0.5000 0.5000 x2
3 As 0.5000 0.5000 0.5000 x1
4 Os 0.5000 0.5000 0.0000 x1

DOS at the Fermi energy: 4.258 states/eV/cell
crystal system: tetragonal
energy relative to the elements, uncorrected: 559 kJ/mol of formula units
spin magnetization: 0.00 μB/f.u.



5.
DFT (GGA-PBE) results for crystalline K3Tl6Cd2In at its relaxed geometry.

Unit cell a=6.5302 b=6.5302 c=11.6571 alpha=90.00 beta=90.00 gamma=120.00
Space group P-3m1 (No. 164)
One atom of each set of equivalent atoms:
1 K 0.0000 0.0000 0.0000 x1
2 K 0.3333 0.6667 0.5584 x2
3 Tl 0.1688 0.3377 0.2654 x6
4 Cd 0.3333 0.6667 0.8625 x2
5 In 0.0000 0.0000 0.5000 x1

DOS at the Fermi energy: 6.936 states/eV/cell
crystal system: trigonal
E_form: 0.02 eV per atom
spin magnetization: 0.00 μB/f.u.



6.
DFT (GGA-PBE) results for crystalline RbCo3W at its relaxed geometry.

Unit cell a=4.6680 b=4.6680 c=4.6680 alpha=90.00 beta=90.00 gamma=90.00
Space group Pm-3m (No. 221)
One atom of each set of equivalent atoms:
1 Rb 0.0000 0.0000 0.0000 x1
2 Co 0.0000 0.5000 0.5000 x3
3 W 0.5000 0.5000 0.5000 x1

DOS at the Fermi energy: 5.723 states/eV/cell
crystal system: cubic
E_form: 1.45 eV per atom
spin magnetization: 1.63 μB/f.u.
excess energy over the best structure of this formula in the dataset: 0.0 kJ per mole of atoms



7.
DFT (GGA-PBE) results for crystalline CeHoInSn at its relaxed geometry.

Unit cell a=4.4604 b=4.9112 c=4.9487 alpha=90.00 beta=90.00 gamma=90.00
Space group Pmmm (No. 47)
One atom of each set of equivalent atoms:
1 Ce 0.0000 0.0000 0.0000 x1
2 Ho 0.0000 0.5000 0.5000 x1
3 In 0.5000 0.0000 0.5000 x1
4 Sn 0.5000 0.5000 0.0000 x1

DOS at the Fermi energy: 8.143 states/eV/cell
crystal system: orthorhombic
E_form: -0.50 eV per atom
spin magnetization: 1.08 μB/f.u.
excess energy over the best structure of this formula in the dataset: 0.0 kJ per mole of atoms



8.
DFT (GGA-PBE) results for crystalline BaMnSn2Se4 at its relaxed geometry.

Unit cell a=4.3272 b=14.4703 c=14.9667 alpha=90.00 beta=90.00 gamma=90.00
Space group Cmcm (No. 63)
One atom of each set of equivalent atoms:
1 Ba 0.0000 0.1123 0.2500 x4
2 Mn 0.0000 0.1596 0.7500 x4
3 Sn 0.0000 0.3707 0.0503 x8
4 Se 0.0000 0.0000 0.0000 x4
5 Se 0.0000 0.2698 0.6219 x8
6 Se 0.0000 0.4358 0.2500 x4

crystal system: orthorhombic
energy relative to the elements, uncorrected: -618 kJ/mol of formula units
spin magnetization: 5.00 μB/f.u.



9.
DFT (GGA-PBE) results for crystalline AgSn2Bi2 at its relaxed geometry.

Unit cell a=7.8285 b=7.8285 c=4.8918 alpha=90.00 beta=90.00 gamma=90.00
Space group P4/mbm (No. 127)
One atom of each set of equivalent atoms:
1 Ag 0.0000 0.0000 0.0000 x2
2 Sn 0.1533 0.3467 0.5000 x4
3 Bi 0.1515 0.6515 0.0000 x4

DOS at the Fermi energy: 5.173 states/eV/cell
crystal system: tetragonal
E_form: 0.21 eV per atom
spin magnetization: 0.00 μB/f.u.
excess energy over the best structure of this formula in the dataset: 6.1 kJ per mole of atoms



10.
DFT (GGA-PBE) results for crystalline Y8Mg4Cu at its relaxed geometry.

Unit cell a=10.9647 b=10.9647 c=6.3572 alpha=90.00 beta=90.00 gamma=90.00
Space group I4/mmm (No. 139)
One atom of each set of equivalent atoms:
1 Y 0.0000 0.2070 0.0000 x8
2 Y 0.0000 0.3329 0.5000 x8
3 Mg 0.2500 0.2500 0.2500 x8
4 Cu 0.0000 0.0000 0.5000 x2

DOS at the Fermi energy: 30.754 states/eV/cell
crystal system: tetragonal
E_form: 0.25 eV per atom
spin magnetization: 0.00 μB/f.u.
excess energy over the best structure of this formula in the dataset: 0.0 kJ per mole of atoms



11.
DFT (GGA-PBE) results for crystalline AlZnTc at its relaxed geometry.

Unit cell a=4.7124 b=4.7366 c=5.0116 alpha=97.70 beta=109.70 gamma=117.71
Space group P-1 (No. 2)
One atom of each set of equivalent atoms:
1 Al 0.0257 0.3958 0.2430 x2
2 Zn 0.2840 0.2483 0.7572 x2
3 Tc 0.3996 0.0922 0.2788 x2

DOS at the Fermi energy: 3.275 states/eV/cell
crystal system: triclinic
E_form: -0.14 eV per atom
spin magnetization: 0.00 μB/f.u.
excess energy over the best structure of this formula in the dataset: 3.2 kJ per mole of atoms



12.
DFT (GGA-PBE) results for crystalline Ca2AcYAu4 at its relaxed geometry.

Unit cell a=5.1893 b=5.1893 c=26.1659 alpha=90.00 beta=90.00 gamma=120.00
Space group R-3m (No. 166, hexagonal axes)
One atom of each set of equivalent atoms:
1 Ca 0.0000 0.0000 0.2458 x6
2 Ac 0.0000 0.0000 0.0000 x3
3 Y 0.0000 0.0000 0.5000 x3
4 Au 0.0000 0.0000 0.1280 x6
5 Au 0.0000 0.0000 0.3845 x6

DOS at the Fermi energy: 16.419 states/eV/cell
crystal system: trigonal
E_form: -0.80 eV per atom
spin magnetization: 0.00 μB/f.u.



13.
DFT (GGA-PBE) results for crystalline Mg2ZnB2Pd5 at its relaxed geometry.

Unit cell a=9.4550 b=9.4550 c=3.0799 alpha=90.00 beta=90.00 gamma=90.00
Space group P4/mbm (No. 127)
One atom of each set of equivalent atoms:
1 Mg 0.1757 0.3243 0.0000 x4
2 Zn 0.0000 0.0000 0.0000 x2
3 B 0.1254 0.6254 0.0000 x4
4 Pd 0.0000 0.5000 0.5000 x2
5 Pd 0.0718 0.7834 0.5000 x8

DOS at the Fermi energy: 5.783 states/eV/cell
crystal system: tetragonal
E_form: -0.46 eV per atom
spin magnetization: 0.00 μB/f.u.



14.
DFT (GGA-PBE) results for crystalline La2RuSe at its relaxed geometry.

Unit cell a=4.3024 b=4.3024 c=6.0530 alpha=90.00 beta=90.00 gamma=90.00
Space group P4mm (No. 99)
One atom of each set of equivalent atoms:
1 La 0.0000 0.0000 0.0000 x1
2 La 0.5000 0.5000 0.4339 x1
3 Ru 0.0000 0.0000 0.3989 x1
4 Se 0.5000 0.5000 0.9317 x1

DOS at the Fermi energy: 0.821 states/eV/cell
crystal system: tetragonal
energy relative to the elements, uncorrected: -400 kJ/mol of formula units
spin magnetization: 0.00 μB/f.u.



15.
DFT (GGA-PBE) results for crystalline HoTh2Pa at its relaxed geometry.

Unit cell a=3.3546 b=3.3546 c=37.3811 alpha=90.00 beta=90.00 gamma=120.00
Space group R-3m (No. 166, hexagonal axes)
One atom of each set of equivalent atoms:
1 Ho 0.0000 0.0000 0.0000 x3
2 Th 0.0000 0.0000 0.0873 x6
3 Pa 0.0000 0.0000 0.5000 x3

DOS at the Fermi energy: 24.334 states/eV/cell
crystal system: trigonal
E_form: 0.30 eV per atom
spin magnetization: 0.00 μB/f.u.
excess energy over the best structure of this formula in the dataset: 21.3 kJ per mole of atoms



16.
DFT (GGA-PBE) results for crystalline Ho2ErC2 at its relaxed geometry.

Unit cell a=11.4218 b=5.0591 c=7.2614 alpha=90.00 beta=109.80 gamma=90.00
Space group C2/m (No. 12)
One atom of each set of equivalent atoms:
1 Ho 0.0071 0.0000 0.2291 x4
2 Ho 0.1626 0.5000 0.0686 x4
3 Er 0.1550 0.5000 0.5962 x4
4 C 0.0026 0.5000 0.2632 x4
5 C 0.1681 0.0000 0.0889 x4

DOS at the Fermi energy: 8.850 states/eV/cell
crystal system: monoclinic
E_form: -0.24 eV per atom
spin magnetization: 0.84 μB/f.u.



17.
DFT (GGA-PBE) results for crystalline Li2Hg2F7 at its relaxed geometry.

Unit cell a=7.0641 b=9.1597 c=5.3161 alpha=90.00 beta=96.44 gamma=90.00
Space group C2/m (No. 12)
One atom of each set of equivalent atoms:
1 Li 0.2470 0.0000 0.4297 x4
2 Hg 0.0000 0.3015 0.0000 x4
3 F 0.0000 0.0000 0.5000 x2
4 F 0.0881 0.5000 0.2634 x4
5 F 0.2456 0.1740 0.2196 x8

DOS at the Fermi energy: 17.356 states/eV/cell
crystal system: monoclinic
energy relative to the elements, uncorrected: -1919 kJ/mol of formula units
spin magnetization: 1.05 μB/f.u.



18.
DFT (GGA-PBE) results for crystalline PrTmPt at its relaxed geometry.

Unit cell a=6.9467 b=13.4083 c=7.1364 alpha=90.00 beta=90.00 gamma=90.00
Space group Pbca (No. 61)
One atom of each set of equivalent atoms:
1 Pr 0.2202 0.1952 0.0967 x8
2 Tm 0.0021 0.5303 0.7571 x8
3 Pt 0.2358 0.5976 0.4608 x8

DOS at the Fermi energy: 26.330 states/eV/cell
crystal system: orthorhombic
E_form: -0.90 eV per atom
spin magnetization: 0.00 μB/f.u.
excess energy over the best structure of this formula in the dataset: 0.0 kJ per mole of atoms



19.
DFT (GGA-PBE) results for crystalline SrCr2Si2 at its relaxed geometry.

Unit cell a=7.6683 b=7.6683 c=2.8271 alpha=90.00 beta=90.00 gamma=90.00
Space group P4/mbm (No. 127)
One atom of each set of equivalent atoms:
1 Sr 0.0000 0.0000 0.0000 x2
2 Cr 0.1400 0.3600 0.5000 x4
3 Si 0.1403 0.6403 0.0000 x4

DOS at the Fermi energy: 6.621 states/eV/cell
crystal system: tetragonal
energy relative to the elements, uncorrected: 86 kJ/mol of formula units
spin magnetization: 4.21 μB/f.u.



20.
DFT (GGA-PBE) results for crystalline Pm6Pd3Rh at its relaxed geometry.

Unit cell a=12.9424 b=12.9424 c=11.9726 alpha=90.00 beta=90.00 gamma=120.00
Space group R-3 (No. 148, hexagonal axes)
One atom of each set of equivalent atoms:
1 Pm 0.0282 0.8184 0.3915 x18
2 Pm 0.0419 0.8394 0.8825 x18
3 Pd 0.0490 0.7782 0.6466 x18
4 Rh 0.0000 0.0000 0.0000 x3
5 Rh 0.0000 0.0000 0.5000 x3

DOS at the Fermi energy: 59.765 states/eV/cell
crystal system: trigonal
E_form: -0.53 eV per atom
spin magnetization: 0.00 μB/f.u.



21.
DFT (GGA-PBE) results for crystalline BaReP2 at its relaxed geometry.

Unit cell a=6.7539 b=6.7539 c=6.7539 alpha=90.00 beta=90.00 gamma=90.00
Space group Fm-3m (No. 225)
One atom of each set of equivalent atoms:
1 Ba 0.0000 0.0000 0.0000 x4
2 Re 0.0000 0.0000 0.5000 x4
3 P 0.2500 0.2500 0.2500 x8

DOS at the Fermi energy: 20.308 states/eV/cell
crystal system: cubic
E_form: 0.49 eV per atom
spin magnetization: 0.45 μB/f.u.



22.
DFT (GGA-PBE) results for crystalline Mg2TaCr at its relaxed geometry.

Unit cell a=3.8488 b=3.8488 c=4.6786 alpha=90.00 beta=90.00 gamma=90.00
Space group P4/mmm (No. 123)
One atom of each set of equivalent atoms:
1 Mg 0.0000 0.5000 0.0000 x2
2 Ta 0.0000 0.0000 0.5000 x1
3 Cr 0.5000 0.5000 0.5000 x1

DOS at the Fermi energy: 3.380 states/eV/cell
crystal system: tetragonal
E_form: 0.44 eV per atom
spin magnetization: 1.38 μB/f.u.
excess energy over the best structure of this formula in the dataset: 15.9 kJ per mole of atoms



23.
DFT (GGA-PBE) results for crystalline LiCu2BF at its relaxed geometry.

Unit cell a=3.7576 b=3.7576 c=5.1682 alpha=90.00 beta=90.00 gamma=90.00
Space group P4/mmm (No. 123)
One atom of each set of equivalent atoms:
1 Li 0.0000 0.0000 0.0000 x1
2 Cu 0.0000 0.5000 0.5000 x2
3 B 0.0000 0.0000 0.5000 x1
4 F 0.5000 0.5000 0.0000 x1

DOS at the Fermi energy: 2.988 states/eV/cell
crystal system: tetragonal
energy relative to the elements, uncorrected: -78 kJ/mol of formula units
spin magnetization: 0.00 μB/f.u.



Number 1: V 32.0 Å³ per atom. Number 2: V 27.9 Å³ per atom. Number 3: V 18.5 Å³ per atom. Number 4: V 26.7 Å³ per atom. Number 5: V 35.9 Å³ per atom. Number 6: V 20.3 Å³ per atom. Number 7: V 27.1 Å³ per atom. Number 8: V 29.3 Å³ per atom. Number 9: V 30.0 Å³ per atom. Number 10: V 29.4 Å³ per atom. Number 11: V 14.6 Å³ per atom. Number 12: V 25.4 Å³ per atom. Number 13: V 13.8 Å³ per atom. Number 14: V 28.0 Å³ per atom. Number 15: V 30.4 Å³ per atom. Number 16: V 19.7 Å³ per atom. Number 17: V 15.5 Å³ per atom. Number 18: V 27.7 Å³ per atom. Number 19: V 16.6 Å³ per atom. Number 20: V 28.9 Å³ per atom. Number 21: V 19.3 Å³ per atom. Number 22: V 17.3 Å³ per atom. Number 23: V 14.6 Å³ per atom.